1.
A plane-wave DFT calculation with GGA-PBE was carried out for Nb4P3W2C3 after structural relaxation.

Geometry as POSCAR:
```
Nb4P3W2C3
1.0
1.429 1.689 -5.195
-4.011 1.394 -3.722
1.256 10.070 6.654
C Nb P W
6 8 6 4
Cartesian
0.715 0.844 -2.597 C
-0.148 1.873 -5.567 C
0.909 6.392 -0.757 C
-1.378 5.732 1.466 C
-2.235 6.761 -1.505 C
-1.178 11.279 3.305 C
0.262 1.423 -0.480 Nb
-1.438 3.486 -6.446 Nb
0.407 4.681 0.606 Nb
-1.344 6.742 -5.345 Nb
0.018 6.411 3.083 Nb
-1.733 8.471 -2.869 Nb
0.112 9.666 4.183 Nb
-1.588 11.730 -1.783 Nb
-0.967 3.554 -1.296 P
1.166 4.175 -3.375 P
-1.773 4.521 -4.080 P
0.447 8.632 1.818 P
-2.492 8.978 1.113 P
-0.359 9.599 -0.966 P
-0.568 2.283 -3.488 W
-0.456 5.885 -2.353 W
-0.870 7.268 0.090 W
-0.758 10.869 1.226 W
```

The calculation puts the raw total energy at -116.31 eV per formula unit.



2.
A plane-wave DFT calculation with GGA-PBE was carried out for TmCuGe after structural relaxation.

Geometry as POSCAR:
```
TmCuGe
1.0
4.238 0.000 0.000
-2.119 3.670 0.000
0.000 0.000 7.043
Cu Ge Tm
2 2 2
Cartesian
2.119 1.223 1.328 Cu
0.000 2.447 4.940 Cu
0.000 2.447 1.856 Ge
2.119 1.223 5.375 Ge
0.000 0.000 3.430 Tm
0.000 0.000 6.938 Tm
```

The calculation puts the raw total energy at -14.85 eV per formula unit.



3.
A plane-wave DFT calculation with GGA-PBE was carried out for CsPaW after structural relaxation.

Geometry as POSCAR:
```
CsPaW
1.0
-2.133 -3.598 2.440
-4.831 -0.277 0.174
-2.312 -3.514 -2.399
Cs Pa W
1 1 1
Cartesian
0.000 0.000 0.000 Cs
-6.957 -5.542 0.161 Pa
-2.319 -1.847 0.054 W
```

Its offset from the most stable computed form is 0.7697 eV per atom.



4.
A plane-wave DFT calculation with GGA-PBE was carried out for TbGd2Mg3Pd2Au after structural relaxation.

Geometry as POSCAR:
```
TbGd2Mg3Pd2Au
1.0
4.094 0.000 0.000
0.000 6.514 3.761
0.000 -6.514 3.761
Au Gd Mg Pd Tb
1 2 3 2 1
Cartesian
0.000 0.000 0.005 Au
0.000 3.814 2.202 Gd
0.000 -3.814 2.202 Gd
2.047 1.616 0.935 Mg
2.047 -1.616 0.935 Mg
2.047 0.000 5.652 Mg
2.047 2.166 3.760 Pd
2.047 -2.166 3.760 Pd
0.000 0.000 3.116 Tb
```

The calculation puts the raw total energy at -38.35 eV per formula unit.



5.
A plane-wave DFT calculation with GGA-PBE was carried out for LiHoAsO after structural relaxation.

Geometry as POSCAR:
```
LiHoAsO
1.0
3.482 0.000 0.000
0.000 7.568 0.000
0.000 0.000 5.828
As Ho Li O
2 2 2 2
Cartesian
0.000 2.447 2.378 As
0.000 5.121 5.292 As
0.000 5.321 2.402 Ho
0.000 2.248 5.316 Ho
1.741 7.028 0.312 Li
1.741 0.541 3.226 Li
1.741 6.495 2.217 O
1.741 1.074 5.131 O
```

Its offset from the most stable computed form is 0.1246 eV per atom.



6.
A plane-wave DFT calculation with GGA-PBE was carried out for Pr2Y2CBr3Cl2 after structural relaxation.

Geometry as POSCAR:
```
Pr2Y2CBr3Cl2
1.0
-4.764 -7.441 2.670
-2.656 -6.685 5.784
-4.881 6.253 1.787
Br C Cl Pr Y
3 1 2 2 2
Cartesian
-7.104 -10.611 7.387 Br
-6.151 -3.937 5.120 Br
-5.197 2.738 2.854 Br
-3.710 -7.063 4.227 C
-2.856 -0.002 1.935 Cl
-9.445 -7.871 8.306 Cl
-5.209 -8.582 5.611 Pr
-7.092 0.709 4.630 Pr
-0.992 1.266 0.364 Y
-11.310 -9.139 9.877 Y
```

Its offset from the most stable computed form is 0.0038 eV per atom.



7.
A plane-wave DFT calculation with GGA-PBE was carried out for ZnCd2Te2F2 after structural relaxation.

Geometry as POSCAR:
```
ZnCd2Te2F2
1.0
-0.828 -3.767 -0.919
2.984 -1.219 2.309
-5.703 -0.483 7.117
Cd F Te Zn
2 2 2 1
Cartesian
0.645 -0.681 2.212 Cd
-5.269 -2.295 5.600 Cd
0.000 0.000 0.000 F
1.078 -2.493 0.695 F
-2.173 -2.033 1.735 Te
-2.452 -0.944 6.076 Te
-2.851 -0.242 3.558 Zn
```

The calculation puts the raw total energy at -20.15 eV per formula unit.



8.
A plane-wave DFT calculation with GGA-PBE was carried out for CdSn2Au after structural relaxation.

Geometry as POSCAR:
```
CdSn2Au
1.0
0.557 3.582 3.635
-4.058 2.732 1.555
-1.968 -0.764 4.680
Au Cd Sn
1 1 2
Cartesian
-4.102 4.162 7.402 Au
-2.734 2.775 4.935 Cd
0.000 0.000 0.000 Sn
-1.367 1.387 2.467 Sn
```

The calculation puts the raw total energy at -11.93 eV per formula unit.



9.
A plane-wave DFT calculation with GGA-PBE was carried out for TmOsO3 after structural relaxation.

Geometry as POSCAR:
```
TmOsO3
1.0
5.919 0.000 0.000
0.000 7.422 0.000
0.000 0.000 5.093
O Os Tm
12 4 4
Cartesian
0.423 5.567 0.752 O
1.853 0.439 0.838 O
1.853 3.272 0.838 O
4.813 0.439 1.708 O
4.813 3.272 1.708 O
3.383 5.567 1.794 O
2.537 1.856 3.299 O
1.106 4.150 3.385 O
1.106 6.983 3.385 O
4.066 4.150 4.255 O
4.066 6.983 4.255 O
5.496 1.856 4.341 O
0.000 0.000 0.000 Os
0.000 3.711 0.000 Os
2.960 0.000 2.546 Os
2.960 3.711 2.546 Os
3.458 1.856 0.191 Tm
0.498 1.856 2.355 Tm
5.421 5.567 2.737 Tm
2.461 5.567 4.902 Tm
```

The calculation puts the raw total energy at -40.50 eV per formula unit.